Entry 1:
Entry from the Alexandria database: a relaxed structure of Tb2Zn7 (PBE-GGA).

Cell lengths 13.063, 13.063, 13.063 Å; angles 24.01, 24.01, 24.01 degrees
Element x y z (fractional)
1 Tb 0.052 0.052 0.052
2 Tb 0.149 0.149 0.149
3 Tb 0.851 0.851 0.851
4 Tb 0.948 0.948 0.948
5 Zn 0.000 0.500 0.500
6 Zn 0.105 0.612 0.612
7 Zn 0.279 0.279 0.279
8 Zn 0.388 0.388 0.895
9 Zn 0.388 0.895 0.388
10 Zn 0.389 0.389 0.389
11 Zn 0.500 0.000 0.500
12 Zn 0.500 0.500 0.000
13 Zn 0.500 0.500 0.500
14 Zn 0.611 0.611 0.611
15 Zn 0.612 0.105 0.612
16 Zn 0.612 0.612 0.105
17 Zn 0.721 0.721 0.721
18 Zn 0.895 0.388 0.388

Calculated values
DOS at the Fermi energy: 4.7 states/eV/f.u.
Calculated formation energy: -0.30 eV per atom
E: -2.32 eV/atom

Entry 2:
Entry from the Alexandria database: a relaxed structure of Tb4Zn (PBE-GGA).

Cell lengths 11.438, 11.438, 11.438 Å; angles 162.04, 162.04, 25.50 degrees
Element x y z (fractional)
1 Tb 0.080 0.080 0.000
2 Tb 0.306 0.306 0.000
3 Tb 0.694 0.694 0.000
4 Tb 0.920 0.920 0.000
5 Zn 0.500 0.500 0.000

Calculated values
DOS at the Fermi energy: 5.7 states/eV/f.u.
Calculated formation energy: -0.13 eV per atom
ΔE to the lowest computed polymorph: 0 meV per atom
E: -4.08 eV/atom